Record 1
The following is a DFT calculation (PBE-GGA) of an optimized crystal structure of Nb2InPtF.

Its formation energy from raw total energies is -0.152 eV/atom. Its crystal system is tetragonal. As for the density: 9.874 g cm⁻³.

The space group is P4/mmm (No. 123) and the conventional cell measures 4.184, 4.184 and 4.945 Å, with angles of 90.00, 90.00 and 90.00 degrees. The asymmetric unit holds Nb at (0.000, 0.500, 0.000), In at (0.000, 0.000, 0.500), Pt at (0.500, 0.500, 0.500) and F at (0.500, 0.500, 0.000).

Record 2
The following is a DFT calculation (PBE-GGA) of an optimized crystal structure of ErBeRh2.

Its crystal system is tetragonal. As for the density: 10.368 g cm⁻³.

The space group is P4/mmm (No. 123) and the conventional cell measures 4.221, 4.221 and 3.435 Å, with angles of 90.00, 90.00 and 90.00 degrees. The asymmetric unit holds Er at (0.000, 0.000, 0.000), Be at (0.500, 0.500, 0.000) and Rh at (0.000, 0.500, 0.500).

Record 3
The following is a DFT calculation (PBE-GGA) of an optimized crystal structure of CeTh2Zn9.

Its crystal system is trigonal. As for the density: 8.578 g cm⁻³.

The space group is R-3m (No. 166, hexagonal axes) and the conventional cell measures 5.5071, 5.5071 and 26.3756 Å, with angles of 90.00, 90.00 and 120.00 degrees. The asymmetric unit holds Ce at (0.0000, 0.0000, 0.0000), Th at (0.0000, 0.0000, 0.1438), Zn at (0.0000, 0.0000, 0.3353), Zn at (0.0000, 0.0000, 0.5000) and Zn at (0.0063, 0.5031, 0.9192).

| no. | volume (Å³/cell) | DFT total energy (Ry/atom) |
| --- | --- | --- |
| 1 | 86.6 | -0.464 |
| 2 | 61.2 | -0.465 |
| 3 | 692.8 | -0.215 |